Record 1
AcZnBO4: optimized geometry, PBE.

The calculation puts the final energy at -6.75 eV/atom. The spin magnetization comes out at 0.000 μB/f.u. The calculation puts the formation energy (no corrections) at -2.193 eV per atom.

Structure (CIF):
```
data_AcZnBO4
_chemical_formula_sum 'Ac4 Zn4 B4 O16'
_cell_length_a 7.907
_cell_length_b 8.349
_cell_length_c 8.794
_cell_angle_alpha 90.00
_cell_angle_beta 90.00
_cell_angle_gamma 90.00
_space_group_name_H-M_alt 'I m m a'
_space_group_IT_number 74
_space_group_name_Hall '-I 2b 2'
loop_
_atom_site_label
_atom_site_type_symbol
_atom_site_fract_x
_atom_site_fract_y
_atom_site_fract_z
Ac1 Ac 0.250 0.250 0.250
Zn1 Zn 0.000 0.000 0.000
B1 B 0.000 0.250 0.546
O1 O 0.000 0.077 0.189
O2 O 0.160 0.250 0.533
```

---

Record 2
AcB2Os: optimized geometry, PBE.

The calculated formation energy comes out at -0.070 eV per atom. The calculation puts the final energy at -7.24 eV/atom. The spin magnetization comes out at 0.000 μB/f.u. For the energy above the most stable polymorph in this dataset, the calculation gives 109.9 meV per atom.

Structure (CIF):
```
data_AcB2Os
_chemical_formula_sum 'Ac2 B4 Os2'
_cell_length_a 6.067
_cell_length_b 3.570
_cell_length_c 6.338
_cell_angle_alpha 90.00
_cell_angle_beta 113.02
_cell_angle_gamma 90.00
_space_group_name_H-M_alt 'P 1 21/m 1'
_space_group_IT_number 11
_space_group_name_Hall '-P 2yb'
loop_
_atom_site_label
_atom_site_type_symbol
_atom_site_fract_x
_atom_site_fract_y
_atom_site_fract_z
Ac1 Ac 0.239 0.250 0.492
B1 B 0.054 0.250 0.974
B2 B 0.446 0.250 0.172
Os1 Os 0.296 0.750 0.995
```

---

Record 3
AcB2Os: optimized geometry, PBE.

The calculated formation energy comes out at 0.024 eV per atom. The calculation puts the final energy at -7.15 eV/atom. The spin magnetization comes out at 0.000 μB/f.u. For the energy above the most stable polymorph in this dataset, the calculation gives 203.5 meV per atom.

Structure (CIF):
```
data_AcB2Os
_chemical_formula_sum 'Ac3 B6 Os3'
_cell_length_a 3.7664
_cell_length_b 3.7664
_cell_length_c 15.6470
_cell_angle_alpha 90.00
_cell_angle_beta 90.00
_cell_angle_gamma 120.00
_space_group_name_H-M_alt 'R -3 m'
_space_group_IT_number 166
_space_group_name_Hall '-R 3 2"'
loop_
_atom_site_label
_atom_site_type_symbol
_atom_site_fract_x
_atom_site_fract_y
_atom_site_fract_z
Ac1 Ac 0.0000 0.0000 0.0000
B1 B 0.0000 0.0000 0.1946
Os1 Os 0.0000 0.0000 0.5000
```

---

Record 4
AcB2Os: optimized geometry, PBE.

The calculated formation energy comes out at -0.179 eV per atom. The calculation puts the final energy at -7.35 eV/atom. The spin magnetization comes out at 0.000 μB/f.u. For the energy above the most stable polymorph in this dataset, the calculation gives 0.0 meV per atom.

Structure (CIF):
```
data_AcB2Os
_chemical_formula_sum 'Ac4 B8 Os4'
_cell_length_a 7.400
_cell_length_b 4.128
_cell_length_c 8.614
_cell_angle_alpha 90.00
_cell_angle_beta 90.00
_cell_angle_gamma 90.00
_space_group_name_H-M_alt 'P n m a'
_space_group_IT_number 62
_space_group_name_Hall '-P 2ac 2n'
loop_
_atom_site_label
_atom_site_type_symbol
_atom_site_fract_x
_atom_site_fract_y
_atom_site_fract_z
Ac1 Ac 0.000 0.250 0.173
B1 B 0.168 0.250 0.575
B2 B 0.244 0.750 0.260
Os1 Os 0.127 0.750 0.461
```